# 1
LiSO2: optimized geometry, PBE.

```
LiSO2
1.0
4.223 0.000 0.000
0.000 4.223 0.000
2.112 2.112 5.351
S O Li
2 4 2
direct
0.000 0.000 0.000
0.750 0.250 0.500
0.660 0.125 0.250
0.090 0.625 0.250
0.875 0.910 0.750
0.375 0.340 0.750
0.250 0.750 0.500
0.500 0.500 0.000
```

## Properties
SG   No. 122
Total moment   0.0 μB/cell
Formation energy without anion corrections   -585.7 meV per atom



# 2
LiSO2: optimized geometry, PBE.

```
LiSO2
1.0
1.663 0.000 5.502
-0.832 1.440 5.502
-0.832 -1.440 5.502
O S Li
2 1 1
direct
0.904 0.904 0.904
0.096 0.096 0.096
0.000 0.000 0.000
0.500 0.500 0.500
```

## Properties
SG   No. 166
Total moment   0.0 μB/cell
Formation energy without anion corrections   -926.3 meV per atom



# 3
Li2SO4: optimized geometry, PBE.

```
Li2SO4
1.0
1.951 -3.905 3.294
0.897 1.077 5.286
-3.221 -2.212 3.826
O S Li
4 1 2
direct
0.111 0.668 0.111
0.111 0.111 0.111
0.668 0.111 0.111
0.111 0.111 0.668
0.000 0.000 0.000
0.250 0.250 0.250
0.750 0.750 0.750
```

## Properties
SG   No. 216
Total moment   0.0 μB/cell
Formation energy without anion corrections   -1642.9 meV per atom



# 4
LiSO2: optimized geometry, PBE.

```
LiSO2
1.0
1.883 0.000 5.399
-0.941 1.631 5.399
-0.941 -1.631 5.399
S Li O
1 1 2
direct
0.500 0.500 0.500
0.000 0.000 0.000
0.890 0.890 0.890
0.110 0.110 0.110
```

## Properties
SG   No. 166
Total moment   0.0 μB/cell
Formation energy without anion corrections   -307.9 meV per atom



# 5
LiSO: optimized geometry, PBE.

```
LiSO
1.0
4.686 0.477 0.892
-1.604 4.429 -0.892
-1.322 -2.590 4.482
S Li O
2 2 2
direct
0.850 0.993 0.843
0.150 0.007 0.157
0.753 0.507 0.260
0.247 0.493 0.740
0.000 0.000 0.500
0.500 0.500 0.500
```

## Properties
SG   No. 12
Total moment   0.0 μB/cell
Formation energy without anion corrections   -652.0 meV per atom



# 6
Li2SO4: optimized geometry, PBE.

```
Li2SO4
1.0
5.490 0.000 1.116
0.000 5.462 0.000
-0.769 0.000 5.477
O Li S
8 4 2
direct
0.119 0.750 0.891
0.944 0.750 0.305
0.320 0.530 0.201
0.881 0.250 0.109
0.056 0.250 0.695
0.320 0.970 0.201
0.680 0.470 0.799
0.680 0.030 0.799
0.125 0.250 0.346
0.647 0.750 0.106
0.875 0.750 0.654
0.353 0.250 0.894
0.828 0.250 0.853
0.172 0.750 0.147
```

## Properties
SG   No. 11
Total moment   0.0 μB/cell
Formation energy without anion corrections   -1836.6 meV per atom



# 7
LiS6O2: optimized geometry, PBE.

```
LiS6O2
1.0
8.987 -0.055 1.991
3.247 5.988 3.531
1.232 -0.055 9.122
S O Li
12 4 2
direct
0.749 0.447 0.957
0.615 0.655 0.063
0.385 0.345 0.937
0.385 0.619 0.625
0.957 0.947 0.749
0.937 0.845 0.385
0.251 0.553 0.043
0.063 0.155 0.615
0.625 0.119 0.385
0.375 0.881 0.615
0.615 0.381 0.375
0.043 0.053 0.251
0.712 0.752 0.079
0.079 0.252 0.712
0.921 0.748 0.288
0.288 0.248 0.921
0.920 0.750 0.080
0.080 0.250 0.920
```

## Properties
SG   No. 15
Total moment   0.0 μB/cell
Formation energy without anion corrections   -453.7 meV per atom



# 8
Li3SO: optimized geometry, PBE.

```
Li3SO
1.0
-1.139 4.204 -1.035
-2.327 0.308 3.812
3.651 1.508 2.107
Li S O
3 1 1
direct
0.500 0.000 0.000
0.000 0.000 0.500
0.000 0.500 0.000
0.000 0.000 0.000
0.500 0.500 0.500
```

## Properties
SG   No. 221
Total moment   1.0 μB/cell
Formation energy without anion corrections   -716.3 meV per atom